VASP calculation (PBE) on crystalline LaHo2OsN4 at its relaxed geometry.

Results
Formation energy without anion corrections   -769.3 kJ/mol of formula units
DFT total energy   -8.323 eV per atom
Fermi-level density of states   0.360 states/eV per atom

Unit cell a=3.462 b=11.763 c=11.652 alpha=90.00 beta=90.00 gamma=90.00
Space group Cmcm (No. 63)
Symmetry-distinct sites (fractional):
La 0.000 0.113 0.250 [4 per cell]
Ho 0.000 0.369 0.041 [8 per cell]
Os 0.000 0.148 0.750 [4 per cell]
N 0.000 0.000 0.000 [4 per cell]
N 0.000 0.265 0.625 [8 per cell]
N 0.000 0.436 0.250 [4 per cell]

***

VASP calculation (PBE) on crystalline La2HoPaN5 at its relaxed geometry.

Results
Formation energy without anion corrections   -1004.4 kJ/mol of formula units
DFT total energy   -8.441 eV per atom
Fermi-level density of states   0.484 states/eV per atom

Unit cell a=4.174 b=4.174 c=9.064 alpha=90.00 beta=90.00 gamma=90.00
Space group P4/mmm (No. 123)
Symmetry-distinct sites (fractional):
La 0.000 0.000 0.233 [2 per cell]
Ho 0.500 0.500 0.500 [1 per cell]
Pa 0.500 0.500 0.000 [1 per cell]
N 0.000 0.000 0.500 [1 per cell]
N 0.000 0.500 0.000 [2 per cell]
N 0.500 0.500 0.257 [2 per cell]

***

VASP calculation (PBE) on crystalline La2HoPaN4 at its relaxed geometry.

Results
Formation energy without anion corrections   -1209.7 kJ/mol of formula units
DFT total energy   -8.721 eV per atom
Fermi-level density of states   0.392 states/eV per atom

Unit cell a=6.122 b=3.591 c=6.337 alpha=90.00 beta=108.80 gamma=90.00
Space group P2/m (No. 10)
Symmetry-distinct sites (fractional):
La 0.000 0.000 0.000 [1 per cell]
La 0.500 0.500 0.000 [1 per cell]
Ho 0.000 0.500 0.500 [1 per cell]
Pa 0.500 0.000 0.500 [1 per cell]
N 0.253 0.000 0.715 [2 per cell]
N 0.272 0.500 0.290 [2 per cell]

***

VASP calculation (PBE) on crystalline LaHo2PtN4 at its relaxed geometry.

Results
Formation energy without anion corrections   -705.9 kJ/mol of formula units
DFT total energy   -7.593 eV per atom
Fermi-level density of states   0.544 states/eV per atom

Unit cell a=3.429 b=11.947 c=11.661 alpha=90.00 beta=90.00 gamma=90.00
Space group Cmcm (No. 63)
Symmetry-distinct sites (fractional):
La 0.000 0.112 0.250 [4 per cell]
Ho 0.000 0.372 0.045 [8 per cell]
Pt 0.000 0.150 0.750 [4 per cell]
N 0.000 0.000 0.000 [4 per cell]
N 0.000 0.273 0.623 [8 per cell]
N 0.000 0.453 0.250 [4 per cell]